(1)
Computed, not measured: a relaxed LiNdTl2 crystal at the GGA-PBE level of DFT.

Summary:
Energy relative to the lowest polymorph listed for this composition, eV per formula unit: 0.09
SG: P4/mmm, No. 123

The structure in CIF format:
```
data_LiNdTl2
_chemical_formula_sum 'Li1 Nd1 Tl2'
_symmetry_space_group_name_H-M 'P 1'
_symmetry_Int_Tables_number 1
_cell_length_a 3.649
_cell_length_b 3.649
_cell_length_c 7.574
_cell_angle_alpha 90.00
_cell_angle_beta 90.00
_cell_angle_gamma 90.00
loop_
_symmetry_equiv_pos_as_xyz
'x,y,z'
loop_
_atom_site_label
_atom_site_type_symbol
_atom_site_fract_x
_atom_site_fract_y
_atom_site_fract_z
_atom_site_occupancy
Tl1 Tl 0.000 0.000 0.789 1
Tl2 Tl 0.000 0.000 0.211 1
Nd1 Nd 0.500 0.500 0.500 1
Li1 Li 0.500 0.500 0.000 1
```

=====

(2)
Computed, not measured: a relaxed Li6NdTl6 crystal at the GGA-PBE level of DFT.

Summary:
SG: Immm, No. 71
E_tot, eV per atom: -2.585

The structure in CIF format:
```
data_Li6NdTl6
_chemical_formula_sum 'Li6 Nd1 Tl6'
_symmetry_space_group_name_H-M 'P 1'
_symmetry_Int_Tables_number 1
_cell_length_a 5.961
_cell_length_b 7.519
_cell_length_c 7.519
_cell_angle_alpha 80.56
_cell_angle_beta 66.65
_cell_angle_gamma 66.65
loop_
_symmetry_equiv_pos_as_xyz
'x,y,z'
loop_
_atom_site_label
_atom_site_type_symbol
_atom_site_fract_x
_atom_site_fract_y
_atom_site_fract_z
_atom_site_occupancy
Li1 Li 0.000 0.500 0.000 1
Li2 Li 0.500 0.500 0.000 1
Li3 Li 0.000 0.000 0.500 1
Li4 Li 0.500 0.000 0.500 1
Li5 Li 0.500 0.762 0.238 1
Li6 Li 0.500 0.238 0.762 1
Nd1 Nd 0.000 0.000 0.000 1
Tl1 Tl 0.340 0.660 0.660 1
Tl2 Tl 0.660 0.340 0.340 1
Tl3 Tl 0.000 0.339 0.661 1
Tl4 Tl 0.000 0.661 0.339 1
Tl5 Tl 0.321 0.179 0.179 1
Tl6 Tl 0.679 0.821 0.821 1
```

=====

(3)
Computed, not measured: a relaxed Li4Nd3Tl4 crystal at the GGA-PBE level of DFT.

Summary:
Energy relative to the lowest polymorph listed for this composition, eV per formula unit: 0.00
SG: P-1, No. 2

The structure in CIF format:
```
data_Li4Nd3Tl4
_chemical_formula_sum 'Li4 Nd3 Tl4'
_symmetry_space_group_name_H-M 'P 1'
_symmetry_Int_Tables_number 1
_cell_length_a 3.563
_cell_length_b 4.993
_cell_length_c 15.868
_cell_angle_alpha 80.89
_cell_angle_beta 83.55
_cell_angle_gamma 89.99
loop_
_symmetry_equiv_pos_as_xyz
'x,y,z'
loop_
_atom_site_label
_atom_site_type_symbol
_atom_site_fract_x
_atom_site_fract_y
_atom_site_fract_z
_atom_site_occupancy
Li1 Li 0.594 0.094 0.813 1
Li2 Li 0.259 0.259 0.481 1
Li3 Li 0.741 0.741 0.519 1
Li4 Li 0.406 0.906 0.187 1
Nd1 Nd 0.144 0.644 0.713 1
Nd2 Nd 0.856 0.356 0.287 1
Nd3 Nd 0.000 0.000 0.000 1
Tl1 Tl 0.551 0.552 0.898 1
Tl2 Tl 0.449 0.448 0.102 1
Tl3 Tl 0.315 0.813 0.371 1
Tl4 Tl 0.686 0.187 0.629 1
```

=====

(4)
Computed, not measured: a relaxed Li5NdTl7 crystal at the GGA-PBE level of DFT.

Summary:
SG: Imm2, No. 44
E_tot, eV per atom: -2.590

The structure in CIF format:
```
data_Li5NdTl7
_chemical_formula_sum 'Li5 Nd1 Tl7'
_symmetry_space_group_name_H-M 'P 1'
_symmetry_Int_Tables_number 1
_cell_length_a 6.108
_cell_length_b 7.641
_cell_length_c 7.641
_cell_angle_alpha 81.14
_cell_angle_beta 66.44
_cell_angle_gamma 66.44
loop_
_symmetry_equiv_pos_as_xyz
'x,y,z'
loop_
_atom_site_label
_atom_site_type_symbol
_atom_site_fract_x
_atom_site_fract_y
_atom_site_fract_z
_atom_site_occupancy
Li1 Li 0.492 0.000 0.496 1
Li2 Li 0.012 0.000 0.496 1
Li3 Li 0.492 0.496 0.000 1
Li4 Li 0.012 0.496 0.000 1
Li5 Li 0.736 0.764 0.764 1
Nd1 Nd 0.994 0.006 0.006 1
Tl1 Tl 0.651 0.349 0.349 1
Tl2 Tl 0.332 0.668 0.668 1
Tl3 Tl 0.986 0.350 0.679 1
Tl4 Tl 0.986 0.679 0.350 1
Tl5 Tl 0.270 0.230 0.230 1
Tl6 Tl 0.519 0.790 0.171 1
Tl7 Tl 0.519 0.171 0.790 1
```

=====

(5)
Computed, not measured: a relaxed LiNd3Tl3 crystal at the GGA-PBE level of DFT.

Summary:
SG: C2/m, No. 12
E_tot, eV per atom: -3.642

The structure in CIF format:
```
data_LiNd3Tl3
_chemical_formula_sum 'Li2 Nd6 Tl6'
_symmetry_space_group_name_H-M 'P 1'
_symmetry_Int_Tables_number 1
_cell_length_a 4.745
_cell_length_b 6.292
_cell_length_c 14.934
_cell_angle_alpha 84.27
_cell_angle_beta 80.86
_cell_angle_gamma 67.85
loop_
_symmetry_equiv_pos_as_xyz
'x,y,z'
loop_
_atom_site_label
_atom_site_type_symbol
_atom_site_fract_x
_atom_site_fract_y
_atom_site_fract_z
_atom_site_occupancy
Li1 Li 0.758 0.082 0.402 1
Li2 Li 0.242 0.918 0.598 1
Nd1 Nd 0.538 0.310 0.614 1
Nd2 Nd 0.462 0.690 0.386 1
Nd3 Nd 0.258 0.260 0.223 1
Nd4 Nd 0.742 0.740 0.777 1
Nd5 Nd 0.407 0.269 0.917 1
Nd6 Nd 0.593 0.731 0.083 1
Tl1 Tl 0.864 0.718 0.554 1
Tl2 Tl 0.136 0.282 0.446 1
Tl3 Tl 0.127 0.819 0.928 1
Tl4 Tl 0.873 0.181 0.072 1
Tl5 Tl 0.968 0.825 0.239 1
Tl6 Tl 0.032 0.175 0.761 1
```

=====

(6)
Computed, not measured: a relaxed Li2NdTl3 crystal at the GGA-PBE level of DFT.

Summary:
SG: P6_3/mmc, No. 194
E_tot, eV per atom: -2.861

The structure in CIF format:
```
data_Li2NdTl3
_chemical_formula_sum 'Li4 Nd2 Tl6'
_symmetry_space_group_name_H-M 'P 1'
_symmetry_Int_Tables_number 1
_cell_length_a 4.979
_cell_length_b 4.979
_cell_length_c 13.849
_cell_angle_alpha 90.00
_cell_angle_beta 90.00
_cell_angle_gamma 120.00
loop_
_symmetry_equiv_pos_as_xyz
'x,y,z'
loop_
_atom_site_label
_atom_site_type_symbol
_atom_site_fract_x
_atom_site_fract_y
_atom_site_fract_z
_atom_site_occupancy
Li1 Li 0.667 0.333 0.409 1
Li2 Li 0.333 0.667 0.591 1
Li3 Li 0.333 0.667 0.909 1
Li4 Li 0.667 0.333 0.091 1
Nd1 Nd 0.000 0.000 0.250 1
Nd2 Nd 0.000 0.000 0.750 1
Tl1 Tl 0.000 0.000 0.500 1
Tl2 Tl 0.000 0.000 0.000 1
Tl3 Tl 0.667 0.333 0.632 1
Tl4 Tl 0.333 0.667 0.132 1
Tl5 Tl 0.667 0.333 0.868 1
Tl6 Tl 0.333 0.667 0.368 1
```

=====

(7)
Computed, not measured: a relaxed LiNd5Tl4 crystal at the GGA-PBE level of DFT.

Summary:
SG: P4/mmm, No. 123
E_tot, eV per atom: -3.825

The structure in CIF format:
```
data_LiNd5Tl4
_chemical_formula_sum 'Li1 Nd5 Tl4'
_symmetry_space_group_name_H-M 'P 1'
_symmetry_Int_Tables_number 1
_cell_length_a 3.756
_cell_length_b 3.756
_cell_length_c 20.767
_cell_angle_alpha 90.00
_cell_angle_beta 90.00
_cell_angle_gamma 90.00
loop_
_symmetry_equiv_pos_as_xyz
'x,y,z'
loop_
_atom_site_label
_atom_site_type_symbol
_atom_site_fract_x
_atom_site_fract_y
_atom_site_fract_z
_atom_site_occupancy
Li1 Li 0.000 0.000 0.000 1
Nd1 Nd 0.500 0.500 0.095 1
Nd2 Nd 0.500 0.500 0.296 1
Nd3 Nd 0.500 0.500 0.500 1
Nd4 Nd 0.500 0.500 0.704 1
Nd5 Nd 0.500 0.500 0.905 1
Tl1 Tl 0.000 0.000 0.191 1
Tl2 Tl 0.000 0.000 0.398 1
Tl3 Tl 0.000 0.000 0.602 1
Tl4 Tl 0.000 0.000 0.809 1
```

=====

(8)
Computed, not measured: a relaxed LiNd4Tl crystal at the GGA-PBE level of DFT.

Summary:
SG: P2_1/m, No. 11
E_tot, eV per atom: -3.945

The structure in CIF format:
```
data_LiNd4Tl
_chemical_formula_sum 'Li2 Nd8 Tl2'
_symmetry_space_group_name_H-M 'P 1'
_symmetry_Int_Tables_number 1
_cell_length_a 6.391
_cell_length_b 11.845
_cell_length_c 6.772
_cell_angle_alpha 90.00
_cell_angle_beta 90.00
_cell_angle_gamma 133.47
loop_
_symmetry_equiv_pos_as_xyz
'x,y,z'
loop_
_atom_site_label
_atom_site_type_symbol
_atom_site_fract_x
_atom_site_fract_y
_atom_site_fract_z
_atom_site_occupancy
Li1 Li 0.994 0.544 0.750 1
Li2 Li 0.006 0.456 0.250 1
Nd1 Nd 0.434 0.525 0.750 1
Nd2 Nd 0.566 0.475 0.250 1
Nd3 Nd 0.377 0.192 0.750 1
Nd4 Nd 0.623 0.808 0.250 1
Nd5 Nd 0.136 0.829 0.996 1
Nd6 Nd 0.864 0.171 0.496 1
Nd7 Nd 0.136 0.829 0.504 1
Nd8 Nd 0.864 0.171 0.004 1
Tl1 Tl 0.666 0.866 0.750 1
Tl2 Tl 0.334 0.134 0.250 1
```

=====

(9)
Computed, not measured: a relaxed Li3Nd4Tl4 crystal at the GGA-PBE level of DFT.

Summary:
SG: Immm, No. 71
E_tot, eV per atom: -3.233

The structure in CIF format:
```
data_Li3Nd4Tl4
_chemical_formula_sum 'Li3 Nd4 Tl4'
_symmetry_space_group_name_H-M 'P 1'
_symmetry_Int_Tables_number 1
_cell_length_a 3.435
_cell_length_b 9.721
_cell_length_c 10.641
_cell_angle_alpha 117.18
_cell_angle_beta 99.29
_cell_angle_gamma 90.00
loop_
_symmetry_equiv_pos_as_xyz
'x,y,z'
loop_
_atom_site_label
_atom_site_type_symbol
_atom_site_fract_x
_atom_site_fract_y
_atom_site_fract_z
_atom_site_occupancy
Li1 Li 0.090 0.090 0.181 1
Li2 Li 0.910 0.910 0.819 1
Li3 Li 0.000 0.500 0.000 1
Nd1 Nd 0.336 0.157 0.672 1
Nd2 Nd 0.664 0.485 0.328 1
Nd3 Nd 0.664 0.843 0.328 1
Nd4 Nd 0.336 0.515 0.672 1
Tl1 Tl 0.283 0.783 0.565 1
Tl2 Tl 0.717 0.217 0.435 1
Tl3 Tl 0.500 0.800 0.000 1
Tl4 Tl 0.500 0.200 0.000 1
```

=====

(10)
Computed, not measured: a relaxed LiNd4Tl3 crystal at the GGA-PBE level of DFT.

Summary:
SG: R-3m, No. 166
E_tot, eV per atom: -3.812

The structure in CIF format:
```
data_LiNd4Tl3
_chemical_formula_sum 'Li1 Nd4 Tl3'
_symmetry_space_group_name_H-M 'P 1'
_symmetry_Int_Tables_number 1
_cell_length_a 5.491
_cell_length_b 5.491
_cell_length_c 9.572
_cell_angle_alpha 73.33
_cell_angle_beta 73.33
_cell_angle_gamma 60.00
loop_
_symmetry_equiv_pos_as_xyz
'x,y,z'
loop_
_atom_site_label
_atom_site_type_symbol
_atom_site_fract_x
_atom_site_fract_y
_atom_site_fract_z
_atom_site_occupancy
Tl1 Tl 0.257 0.257 0.228 1
Tl2 Tl 0.743 0.743 0.772 1
Tl3 Tl 0.500 0.500 0.500 1
Nd1 Nd 0.874 0.874 0.378 1
Nd2 Nd 0.377 0.377 0.868 1
Nd3 Nd 0.126 0.126 0.622 1
Nd4 Nd 0.623 0.623 0.132 1
Li1 Li 0.000 0.000 0.000 1
```

=====

(11)
Computed, not measured: a relaxed Li2Nd8Tl crystal at the GGA-PBE level of DFT.

Summary:
SG: C2/m, No. 12
E_tot, eV per atom: -4.015

The structure in CIF format:
```
data_Li2Nd8Tl
_chemical_formula_sum 'Li2 Nd8 Tl1'
_symmetry_space_group_name_H-M 'P 1'
_symmetry_Int_Tables_number 1
_cell_length_a 5.288
_cell_length_b 7.832
_cell_length_c 9.300
_cell_angle_alpha 110.73
_cell_angle_beta 106.52
_cell_angle_gamma 90.00
loop_
_symmetry_equiv_pos_as_xyz
'x,y,z'
loop_
_atom_site_label
_atom_site_type_symbol
_atom_site_fract_x
_atom_site_fract_y
_atom_site_fract_z
_atom_site_occupancy
Li1 Li 0.810 0.336 0.620 1
Li2 Li 0.190 0.664 0.380 1
Nd1 Nd 0.408 0.538 0.815 1
Nd2 Nd 0.678 0.968 0.357 1
Nd3 Nd 0.817 0.727 0.635 1
Nd4 Nd 0.963 0.237 0.927 1
Nd5 Nd 0.183 0.273 0.365 1
Nd6 Nd 0.322 0.032 0.643 1
Nd7 Nd 0.592 0.462 0.185 1
Nd8 Nd 0.037 0.763 0.073 1
Tl1 Tl 0.500 0.000 0.000 1
```

=====

(12)
Computed, not measured: a relaxed LiNd4Tl5 crystal at the GGA-PBE level of DFT.

Summary:
SG: P4/mmm, No. 123
E_tot, eV per atom: -3.645

The structure in CIF format:
```
data_LiNd4Tl5
_chemical_formula_sum 'Li1 Nd4 Tl5'
_symmetry_space_group_name_H-M 'P 1'
_symmetry_Int_Tables_number 1
_cell_length_a 3.669
_cell_length_b 3.669
_cell_length_c 20.728
_cell_angle_alpha 90.00
_cell_angle_beta 90.00
_cell_angle_gamma 90.00
loop_
_symmetry_equiv_pos_as_xyz
'x,y,z'
loop_
_atom_site_label
_atom_site_type_symbol
_atom_site_fract_x
_atom_site_fract_y
_atom_site_fract_z
_atom_site_occupancy
Li1 Li 0.000 0.000 0.000 1
Nd1 Nd 0.000 0.000 0.182 1
Nd2 Nd 0.000 0.000 0.394 1
Nd3 Nd 0.000 0.000 0.606 1
Nd4 Nd 0.000 0.000 0.818 1
Tl1 Tl 0.500 0.500 0.078 1
Tl2 Tl 0.500 0.500 0.288 1
Tl3 Tl 0.500 0.500 0.500 1
Tl4 Tl 0.500 0.500 0.712 1
Tl5 Tl 0.500 0.500 0.922 1
```